VASP calculation (GGA-PBE) on a relaxed AlTc3Pt crystal.

abc: 4.748 4.748 4.748
angles: 90.00 90.00 90.00
Space group Pm-3m (No. 221)
Inequivalent atoms, fractional coordinates:
Al: 0.000 0.000 0.000 [1 per cell]
Tc: 0.000 0.500 0.500 [3 per cell]
Pt: 0.500 0.500 0.500 [1 per cell]

Computed properties:
V, Å³/atom: 21.40
Total moment, μB/cell: 2.88
DFT total energy, eV per cell: -31.720
ΔE to the lowest computed polymorph, meV per atom: 532
Formation energy, kcal/mol of atoms: 42.25
Crystal system: cubic